## FeB2F8 (PBE+U)

Data for FeB2F8 after structural relaxation.

The structure in extended XYZ format:
```
11
Lattice="4.8454 0.4109 0.3118 0.5346 5.6785 0.4541 0.5346 1.9663 5.3465" Properties=species:S:1:pos:R:3 pbc="T T T"
F 1.5642 2.6972 2.0465
F 4.1265 1.9783 3.9431
F 1.7881 3.7256 5.2688
F 3.2534 1.4524 1.1020
F 2.6612 6.6033 5.0103
F 4.1265 4.3302 0.8435
F 4.3504 5.3585 4.0658
F 1.7881 6.0774 2.1692
B 4.0930 6.4193 4.8707
B 1.8215 1.6364 1.2416
Fe 0.0000 0.0000 0.0000
```

SG = C2/m
VASP energy = -5.787 eV per atom